# 1
The following is a PBE calculation of a relaxed CrPt2Rh crystal, from Alexandria via LeMat-Bulk.

For the total energy, the calculation gives -29.57 eV for the cell shown.

Unit cell a=4.7557 b=4.7557 c=4.7288 alpha=78.97 beta=78.97 gamma=33.92
Each line ends with the local moment (μB).
Atoms (fractional coordinates):
Cr 0.2467 0.2467 0.2546  2.20
Pt 0.9921 0.9921 0.0087  -0.06
Pt 0.7514 0.7514 0.7453  -0.10
Rh 0.5098 0.5098 0.4914  -0.27



# 2
The following is a PBE calculation of a relaxed CrPt2Rh3 crystal, from Alexandria via LeMat-Bulk.

For the total energy, the calculation gives -88.95 eV for the cell shown.

Unit cell a=3.8648 b=6.1090 c=7.6841 alpha=90.00 beta=90.00 gamma=71.56
Each line ends with the local moment (μB).
Atoms (fractional coordinates):
Cr 0.3352 0.3297 0.0000  1.62
Cr 0.6648 0.6703 0.0000  1.62
Pt 0.0000 0.0000 0.0000  -0.06
Pt 0.0000 0.0000 0.5000  -0.10
Pt 0.3317 0.3367 0.5000  -0.11
Pt 0.6683 0.6633 0.5000  -0.11
Rh 0.8295 0.3411 0.7679  -0.15
Rh 0.5000 0.0000 0.2426  -0.17
Rh 0.1705 0.6589 0.2321  -0.15
Rh 0.8294 0.3411 0.2321  -0.15
Rh 0.1706 0.6589 0.7679  -0.15
Rh 0.5000 0.0000 0.7574  -0.17



# 3
The following is a PBE calculation of a relaxed CrPtRh crystal, from Alexandria via LeMat-Bulk.

The value obtained for the polymorph energy (0 for the lowest one) is 114 meV per atom. For the total energy, the calculation gives -23.29 eV for the cell shown.

Unit cell a=2.7064 b=2.7064 c=6.5946 alpha=90.00 beta=90.00 gamma=120.00
Each line ends with the local moment (μB).
Atoms (fractional coordinates):
Cr 0.0000 0.0000 0.9940  0.57
Pt 0.3333 0.6667 0.3186  0.00
Rh 0.6667 0.3333 0.6873  -0.03



# 4
The following is a PBE calculation of a relaxed CrPt2Rh crystal, from Alexandria via LeMat-Bulk.

For the total energy, the calculation gives -56.14 eV for the cell shown.

Unit cell a=6.9672 b=6.9672 c=5.5902 alpha=51.45 beta=51.45 gamma=90.00
Each line ends with the local moment (μB).
Atoms (fractional coordinates):
Cr 0.5000 0.5000 0.0000  2.29
Cr 0.2500 0.7500 0.5000  2.29
Rh 0.0000 0.0000 0.0000  -0.30
Rh 0.7500 0.2500 0.5000  -0.30
Pt 0.6011 0.1250 0.2500  -0.10
Pt 0.1489 0.6250 0.2500  -0.09
Pt 0.3750 0.3989 0.7500  -0.09
Pt 0.8750 0.8511 0.7500  -0.09



# 5
The following is a PBE calculation of a relaxed CrPtRh crystal, from Alexandria via LeMat-Bulk.

The value obtained for the polymorph energy (0 for the lowest one) is 323 meV per atom. For the total energy, the calculation gives -22.66 eV for the cell shown.

Unit cell a=4.0822 b=4.0822 c=4.0822 alpha=60.00 beta=60.00 gamma=60.00
Each line ends with the local moment (μB).
Atoms (fractional coordinates):
Cr 0.7500 0.7500 0.7500  1.69
Pt 0.0000 0.0000 0.0000  0.00
Rh 0.5000 0.5000 0.5000  -0.15



# 6
The following is a PBE calculation of a relaxed Cr2Pt2Rh crystal, from Alexandria via LeMat-Bulk.

The value obtained for the polymorph energy (0 for the lowest one) is 191 meV per atom. For the total energy, the calculation gives -76.82 eV for the cell shown.

Unit cell a=7.3226 b=7.3226 c=2.6795 alpha=90.00 beta=90.00 gamma=90.00
Atoms (fractional coordinates):
Cr 0.1692 0.6692 0.5000
Cr 0.6692 0.8308 0.5000
Cr 0.8308 0.3308 0.5000
Cr 0.3308 0.1692 0.5000
Rh 0.0000 0.0000 0.0000
Rh 0.5000 0.5000 0.0000
Pt 0.3702 0.8702 0.0000
Pt 0.8702 0.6298 0.0000
Pt 0.6298 0.1298 0.0000
Pt 0.1298 0.3702 0.0000



# 7
The following is a PBE calculation of a relaxed CrPt2Rh crystal, from Alexandria via LeMat-Bulk.

For the total energy, the calculation gives -29.83 eV for the cell shown.

Unit cell a=4.7524 b=4.7524 c=4.7524 alpha=131.95 beta=131.95 gamma=70.30
Each line ends with the local moment (μB).
Atoms (fractional coordinates):
Cr 0.2499 0.7499 0.5000  2.15
Pt 0.0000 0.0000 0.0000  -0.16
Pt 0.7500 0.2500 0.5000  -0.20
Rh 0.5000 0.5000 0.0000  -0.43



# 8
The following is a PBE calculation of a relaxed CrPtRh crystal, from Alexandria via LeMat-Bulk.

The value obtained for the polymorph energy (0 for the lowest one) is 46 meV per atom. For the total energy, the calculation gives -23.49 eV for the cell shown.

Unit cell a=4.7408 b=4.7408 c=4.7408 alpha=146.93 beta=133.81 gamma=57.98
Each line ends with the local moment (μB).
Atoms (fractional coordinates):
Cr 0.0067 0.0067 0.0000  0.67
Rh 0.6562 0.6562 0.0000  -0.14
Pt 0.3371 0.3371 0.0000  -0.05